# 1
{"formula": "K3MgAs2O6", "functional": "PBE", "state": "relaxed", "lattice": [[5.8178, 0.0000, 0.0000], [-2.9089, 5.0384, 0.0000], [0.0000, 0.0000, 6.9685]], "species": ["K", "K", "K", "Mg", "As", "As", "O", "O", "O", "O", "O", "O"], "fractional_positions": [[0.0000, 0.0000, 0.0000], [0.3333, 0.6667, 0.6693], [0.6667, 0.3333, 0.3307], [0.0000, 0.0000, 0.5000], [0.3333, 0.6667, 0.2170], [0.6667, 0.3333, 0.7830], [0.1724, 0.3448, 0.3161], [0.1724, 0.8276, 0.3161], [0.3448, 0.1724, 0.6839], [0.6552, 0.8276, 0.3161], [0.8276, 0.1724, 0.6839], [0.8276, 0.6552, 0.6839]], "e_form_raw_ev_per_atom": -1.67, "space_group": "P-3m1"}



# 2
{"formula": "KMgAs2O8", "functional": "PBE", "state": "relaxed", "lattice": [[5.6404, 0.0000, 0.0000], [-2.8202, 4.8848, 0.0000], [0.0000, 0.0000, 7.5119]], "species": ["K", "Mg", "As", "As", "O", "O", "O", "O", "O", "O", "O", "O"], "fractional_positions": [[0.0000, 0.0000, 0.0000], [0.0000, 0.0000, 0.5000], [0.3333, 0.6667, 0.2669], [0.6667, 0.3333, 0.7331], [0.1650, 0.3324, 0.3327], [0.1674, 0.8350, 0.3327], [0.3324, 0.1674, 0.6673], [0.3333, 0.6667, 0.0368], [0.6667, 0.3333, 0.9632], [0.6676, 0.8326, 0.3327], [0.8326, 0.1650, 0.6673], [0.8350, 0.6676, 0.6673]], "e_form_raw_ev_per_atom": -1.18, "space_group": "P-3"}



# 3
{"formula": "KMgAsO4", "functional": "PBE", "state": "relaxed", "lattice": [[5.6527, 0.0000, 0.0000], [0.0000, 5.6527, 0.0000], [0.0000, 0.0000, 8.0177]], "species": ["K", "K", "Mg", "Mg", "As", "As", "O", "O", "O", "O", "O", "O", "O", "O"], "fractional_positions": [[0.0000, 0.0000, 0.0000], [0.5000, 0.5000, 0.5000], [0.0000, 0.0000, 0.5000], [0.5000, 0.5000, 0.0000], [0.0000, 0.5000, 0.7500], [0.5000, 0.0000, 0.2500], [0.1102, 0.2734, 0.6306], [0.2266, 0.6102, 0.8694], [0.2734, 0.8898, 0.3694], [0.3898, 0.2266, 0.1306], [0.6102, 0.7734, 0.1306], [0.7266, 0.1102, 0.3694], [0.7734, 0.3898, 0.8694], [0.8898, 0.7266, 0.6306]], "e_form_raw_ev_per_atom": -1.93, "space_group": "I-4"}



# 4
{"formula": "K2MgAs2O6", "functional": "PBE", "state": "relaxed", "lattice": [[2.9056, 1.6776, 5.8525], [-2.9056, 1.6776, 5.8525], [0.0000, -3.3551, 5.8525]], "species": ["K", "K", "Mg", "As", "As", "O", "O", "O", "O", "O", "O"], "fractional_positions": [[0.2206, 0.2206, 0.2206], [0.7794, 0.7794, 0.7794], [0.0000, 0.0000, 0.0000], [0.4302, 0.4302, 0.4302], [0.5698, 0.5698, 0.5698], [0.2415, 0.2415, 0.7368], [0.2415, 0.7368, 0.2415], [0.2632, 0.7585, 0.7585], [0.7368, 0.2415, 0.2415], [0.7585, 0.2632, 0.7585], [0.7585, 0.7585, 0.2632]], "e_form_raw_ev_per_atom": -1.70, "space_group": "R-3m"}



# 5
{"formula": "KMg4AsP2", "functional": "PBE", "state": "relaxed", "lattice": [[4.3940, 0.0000, 0.0000], [0.0000, 4.3940, 0.0000], [0.0000, 0.0000, 10.3162]], "species": ["K", "Mg", "Mg", "Mg", "Mg", "As", "P", "P"], "fractional_positions": [[0.0000, 0.0000, 0.0000], [0.0000, 0.5000, 0.3344], [0.0000, 0.5000, 0.6656], [0.5000, 0.0000, 0.3344], [0.5000, 0.0000, 0.6656], [0.0000, 0.0000, 0.5000], [0.5000, 0.5000, 0.2100], [0.5000, 0.5000, 0.7900]], "formation_enthalpy_0k_ev_per_atom": -0.629, "space_group": "P4/mmm"}



# 6
{"formula": "KMgAs2Pt4", "functional": "PBE", "state": "relaxed", "lattice": [[4.0790, 0.0000, 0.0000], [0.0000, 4.0790, 0.0000], [0.0000, 0.0000, 10.1957]], "species": ["K", "Mg", "As", "As", "Pt", "Pt", "Pt", "Pt"], "fractional_positions": [[0.0000, 0.0000, 0.0000], [0.0000, 0.0000, 0.5000], [0.5000, 0.5000, 0.1920], [0.5000, 0.5000, 0.8080], [0.0000, 0.5000, 0.3252], [0.0000, 0.5000, 0.6748], [0.5000, 0.0000, 0.3252], [0.5000, 0.0000, 0.6748]], "formation_enthalpy_0k_ev_per_atom": -0.482, "space_group": "P4/mmm"}



> Number 3 is which compound?

KMgAsO4



Repeat the second record exactly.
{"formula": "KMgAs2O8", "functional": "PBE", "state": "relaxed", "lattice": [[5.6404, 0.0000, 0.0000], [-2.8202, 4.8848, 0.0000], [0.0000, 0.0000, 7.5119]], "species": ["K", "Mg", "As", "As", "O", "O", "O", "O", "O", "O", "O", "O"], "fractional_positions": [[0.0000, 0.0000, 0.0000], [0.0000, 0.0000, 0.5000], [0.3333, 0.6667, 0.2669], [0.6667, 0.3333, 0.7331], [0.1650, 0.3324, 0.3327], [0.1674, 0.8350, 0.3327], [0.3324, 0.1674, 0.6673], [0.3333, 0.6667, 0.0368], [0.6667, 0.3333, 0.9632], [0.6676, 0.8326, 0.3327], [0.8326, 0.1650, 0.6673], [0.8350, 0.6676, 0.6673]], "e_form_raw_ev_per_atom": -1.18, "space_group": "P-3"}